Material: ZrMnOF2
Method: DFT, PBE+U
State: optimized geometry

Cell: 4.431 4.431 4.108 Å, 90.00 90.00 90.00°
Space group P4/mmm (No. 123)
Unique sites:
Zr (0.000, 0.000, 0.000)
Mn (0.500, 0.500, 0.500)
O (0.000, 0.000, 0.500)
F (0.000, 0.500, 0.000)

Density of states at the Fermi level (states/eV per atom): 0.498
Offset from the most stable computed form (meV per atom): 0.0